#one
Computed, not measured: a relaxed structure of MnGaH2O at the GGA+U level of DFT.

a = 3.021 Å, b = 4.610 Å, c = 9.386 Å
α = 90.00°, β = 90.00°, γ = 90.00°
Site moments in Bohr magnetons follow the coordinates.
Sites, in units of the cell vectors:
Mn1 0.500 0.000 0.447  4.53
Mn2 0.500 0.500 0.947  4.53
Ga1 0.000 0.000 0.105  0.00
Ga2 0.000 0.500 0.605  0.00
H1 0.500 0.918 0.777  0.01
H2 0.500 0.082 0.777  0.01
H3 0.500 0.418 0.277  0.01
H4 0.500 0.582 0.277  0.01
O1 0.000 0.000 0.304  0.07
O2 0.000 0.500 0.804  0.07

Symmetry = No. 38

#two
Computed, not measured: a relaxed structure of MnGaH2O at the GGA+U level of DFT.

a = 6.845 Å, b = 3.240 Å, c = 5.550 Å
α = 90.00°, β = 122.42°, γ = 90.00°
Site moments in Bohr magnetons follow the coordinates.
Sites, in units of the cell vectors:
Mn1 0.638 0.000 0.364  4.14
Mn2 0.638 0.500 0.864  4.14
Ga1 0.108 0.000 0.680  -0.02
Ga2 0.108 0.500 0.180  -0.02
H1 0.659 0.000 0.712  -0.08
H2 0.659 0.500 0.212  -0.08
H3 0.657 0.000 0.043  -0.08
H4 0.657 0.500 0.543  -0.08
O1 0.274 0.000 0.123  0.01
O2 0.274 0.500 0.623  0.01

Symmetry = No. 8

#three
Computed, not measured: a relaxed structure of MnGaH2O at the GGA+U level of DFT.

a = 4.273 Å, b = 3.139 Å, c = 5.032 Å
α = 90.00°, β = 112.25°, γ = 90.00°
Site moments in Bohr magnetons follow the coordinates.
Sites, in units of the cell vectors:
Mn1 0.296 0.500 0.162  4.42
Ga1 0.931 0.000 0.414  -0.10
H1 0.479 0.000 0.820  0.00
H2 0.696 0.500 0.495  -0.01
O1 0.263 0.000 0.849  0.02

Symmetry = No. 6

#four
Computed, not measured: a relaxed structure of MnGaH2O at the GGA+U level of DFT.

a = 3.099 Å, b = 3.099 Å, c = 6.404 Å
α = 90.00°, β = 90.00°, γ = 120.00°
Site moments in Bohr magnetons follow the coordinates.
Sites, in units of the cell vectors:
Mn1 0.000 0.000 0.351  4.28
Ga1 0.667 0.333 0.746  -0.15
H1 0.667 0.333 0.225  -0.03
H2 0.333 0.667 0.476  -0.05
O1 0.000 0.000 0.866  -0.06

Symmetry = No. 156

Which one sits at the bottom of the stability order? #four does.

#one
Computed, not measured: a relaxed structure of MnGaH2O at the GGA+U level of DFT.

a = 3.408 Å, b = 3.094 Å, c = 5.785 Å
α = 90.00°, β = 107.04°, γ = 90.00°
Site moments in Bohr magnetons follow the coordinates.
Sites, in units of the cell vectors:
Mn1 0.710 0.000 0.567  4.35
Ga1 0.980 0.500 0.107  -0.12
H1 0.817 0.500 0.784  -0.07
H2 0.255 0.000 0.659  -0.04
O1 0.573 0.500 0.294  -0.05

Symmetry = No. 6

#two
Computed, not measured: a relaxed structure of MnGaH2O at the GGA+U level of DFT.

a = 5.429 Å, b = 3.005 Å, c = 9.295 Å
α = 90.00°, β = 119.82°, γ = 90.00°
Site moments in Bohr magnetons follow the coordinates.
Sites, in units of the cell vectors:
Mn1 0.131 0.000 0.352  4.48
Mn2 0.131 0.500 0.852  4.48
Ga1 0.820 0.000 0.968  0.00
Ga2 0.820 0.500 0.468  0.00
H1 0.527 0.000 0.113  0.00
H2 0.527 0.500 0.613  0.00
H3 0.984 0.000 0.704  -0.03
H4 0.984 0.500 0.204  -0.03
O1 0.462 0.000 0.992  0.04
O2 0.462 0.500 0.492  0.04

Symmetry = No. 8

Which one sits at the bottom of the stability order? #one does.